The following is a DFT calculation (PBE-GGA) of an optimized crystal structure of Mn5Nb6Fe.

Values from the calculation:
Formation energy (eV per atom): -0.0989
DFT total energy (eV per atom): -9.660
Symmetry: Immm

a = 4.3502 Å, b = 6.1445 Å, c = 7.5012 Å
α = 114.18°, β = 106.86°, γ = 90.00°
Closest atoms and distances in Å follow each position.
Atoms (fractional coordinates):
Mn  0.3334  0.3334  0.6669  8 Nb 2.65-2.66
Mn  0.0000  0.5000  0.0000  8 Nb 2.65-2.66
Mn  0.6666  0.6666  0.3331  8 Nb 2.65-2.66
Mn  0.3337  0.8337  0.6674  8 Nb 2.65-2.66
Mn  0.6663  0.1663  0.3326  8 Nb 2.65-2.66
Nb  0.8330  0.0835  0.6661  7 Mn 2.65-2.66, 1 Fe 2.66
Nb  0.8331  0.5826  0.6661  7 Mn 2.65-2.66, 1 Fe 2.66
Nb  0.1670  0.9165  0.3339  7 Mn 2.65-2.66, 1 Fe 2.66
Nb  0.5000  0.2511  0.0000  6 Mn 2.65-2.66, 2 Fe 2.67
Nb  0.1669  0.4174  0.3339  7 Mn 2.65-2.66, 1 Fe 2.66
Nb  0.5000  0.7489  0.0000  6 Mn 2.65-2.66, 2 Fe 2.67
Fe  0.0000  0.0000  0.0000  8 Nb 2.66-2.67

The following is a DFT calculation (PBE-GGA) of an optimized crystal structure of MnNbFeNi.

Values from the calculation:
Formation energy (eV per atom): -0.0131
DFT total energy (eV per atom): -8.384
Symmetry: F-43m

a = 4.2214 Å, b = 4.2214 Å, c = 4.2214 Å
α = 60.00°, β = 60.00°, γ = 60.00°
Closest atoms and distances in Å follow each position.
Atoms (fractional coordinates):
Nb  0.7500  0.7500  0.7500  4 Ni 2.59, 4 Fe 2.59
Fe  0.5000  0.5000  0.5000  4 Mn 2.59, 4 Nb 2.59
Mn  0.2500  0.2500  0.2500  4 Fe 2.59, 4 Ni 2.59
Ni  0.0000  0.0000  0.0000  4 Nb 2.59, 4 Mn 2.59